Here is a relaxed structure of ZnTeI2N from the Alexandria database. Energies are from PBE.

Calculated values
The calculation puts the energy above the most stable polymorph in this dataset at 0.192 eV/atom. The total energy comes out at -2.270 eV/atom. The crystal system is tetragonal. As for the density of states at the Fermi level: 0.348 states/eV/atom. The formation energy from raw total energies comes out at 898 meV per atom.

Cell lengths 4.9537, 4.9537, 5.0000 Å; angles 90.00, 90.00, 90.00 degrees
Last column: nearest neighbours and their distance in Å.
Element x y z (fractional)
I (0.0000, 0.5000, 0.0000)  2 N 2.48
I (0.5000, 0.0000, 0.0000)  2 N 2.48
Zn (0.5000, 0.5000, 0.5000)  4 Te 3.50, 8 I 3.52
Te (0.0000, 0.0000, 0.5000)  2 N 2.50
N (0.0000, 0.0000, 0.0000)  4 I 2.48, 2 Te 2.50